1.
An optimized crystal structure of CsZnF3, computed with PBE.

Properties
For the energy relative to the elements, uncorrected, the calculation gives -2.50 eV/atom. Its space-group type is P2_1/m.

a b c (Å): 5.7486 5.8091 7.5175
angles (deg): 90.00 126.66 90.00
With the nearest neighbours (Å) after each atom.
Sites, in units of the cell vectors:
F  0.9089  0.4963  0.1226  2 Zn 2.03-2.05
Cs  0.3134  0.2500  0.6454  5 F 3.05-3.10
F  0.9089  0.0037  0.1226  2 Zn 2.03-2.05
F  0.5160  0.2500  0.3443  1 Zn 1.92
F  0.0911  0.5037  0.8774  2 Zn 2.03-2.05
Cs  0.6866  0.7500  0.3546  5 F 3.05-3.10
F  0.4840  0.7500  0.6557  1 Zn 1.92
Zn  0.1251  0.2500  0.0776  5 F 1.92-2.05
Zn  0.8749  0.7500  0.9224  5 F 1.92-2.05
F  0.0911  0.9963  0.8774  2 Zn 2.03-2.05

2.
An optimized crystal structure of SnHg5, computed with PBE.

Properties
As for the energy above the most stable polymorph in this dataset: 0.0142 eV per atom. Its space-group type is Cmmm. The energy of formation from the pure elements is 0.38 eV/f.u.

a b c (Å): 4.9607 4.6799 7.0992
angles (deg): 109.25 90.00 90.00
With the nearest neighbours (Å) after each atom.
Sites, in units of the cell vectors:
Hg  0.0000  0.6664  0.3329  2 Sn 3.23, 10 Hg 3.24-3.41
Hg  0.5000  0.1680  0.3360  10 Hg 3.21-3.41, 2 Sn 3.35
Hg  0.5000  0.5000  0.0000  8 Hg 3.25-3.34, 4 Sn 3.41
Hg  0.5000  0.8320  0.6640  10 Hg 3.21-3.41, 2 Sn 3.35
Hg  0.0000  0.3336  0.6671  2 Sn 3.23, 10 Hg 3.24-3.41
Sn  0.0000  0.0000  0.0000  12 Hg 3.23-3.41

3.
An optimized crystal structure of ThSbRh6, computed with PBE.

Properties
For the energy relative to the elements, uncorrected, the calculation gives -0.45 eV/atom. Its space-group type is P4/mmm.

a b c (Å): 4.0603 5.7244 5.7244
angles (deg): 90.01 90.00 90.00
With the nearest neighbours (Å) after each atom.
Sites, in units of the cell vectors:
Sb  0.5000  0.5000  0.5000  12 Rh 2.82-2.86
Th  0.5000  0.0000  0.0000  12 Rh 2.86-2.92
Rh  0.0000  0.7413  0.7413  8 Rh 2.76-2.96, 2 Sb 2.82, 2 Th 2.92
Rh  0.5000  0.0000  0.5000  2 Th 2.86, 2 Sb 2.86, 8 Rh 2.87
Rh  0.0000  0.2586  0.7414  8 Rh 2.76-2.96, 2 Sb 2.82, 2 Th 2.92
Rh  0.0000  0.7414  0.2586  8 Rh 2.76-2.96, 2 Sb 2.82, 2 Th 2.92
Rh  0.0000  0.2587  0.2587  8 Rh 2.76-2.96, 2 Sb 2.82, 2 Th 2.92
Rh  0.5000  0.5000  0.0000  2 Sb 2.86, 2 Th 2.86, 8 Rh 2.87

4.
An optimized crystal structure of LiNd2Y, computed with PBE.

Properties
As for the energy above the most stable polymorph in this dataset: 0.0528 eV per atom. Its space-group type is P3m1. The energy of formation from the pure elements is 0.47 eV/f.u.

a b c (Å): 3.5642 3.5642 11.9376
angles (deg): 90.00 90.00 120.00
With the nearest neighbours (Å) after each atom.
Sites, in units of the cell vectors:
Li  0.6667  0.3333  0.5244  4 Nd 3.27-3.51, 6 Li 3.56
Nd  0.6667  0.3333  0.2502  1 Li 3.27, 3 Y 3.55, 6 Nd 3.56
Y  0.0000  0.0000  0.0083  6 Nd 3.55-3.59, 6 Y 3.56
Nd  0.3333  0.6667  0.7622  3 Li 3.51, 6 Nd 3.56, 3 Y 3.59

5.
An optimized crystal structure of K3Rb3ZnI8, computed with PBE.

Properties
For the energy relative to the elements, uncorrected, the calculation gives -1.26 eV/atom. Its space-group type is R-3m.

a b c (Å): 10.1042 10.1032 10.2771
angles (deg): 119.45 90.00 120.01
With the nearest neighbours (Å) after each atom.
Sites, in units of the cell vectors:
I  0.2045  0.9939  0.6984  1 Zn 2.95
K  0.5000  0.5000  0.5000  6 I 3.55-3.61
Rb  0.0000  0.5000  0.0000  6 I 3.66-3.72
I  0.7955  0.0061  0.3016  1 Zn 2.95
I  0.7952  0.5904  0.3012  1 Zn 2.95
I  0.2539  0.5079  0.2618  3 K 3.54-3.55, 3 Rb 3.66
K  0.5000  0.0000  0.5000  6 I 3.54-3.61
I  0.2048  0.4096  0.6988  1 Zn 2.95
I  0.7894  0.9939  0.6984  1 Zn 2.95
I  0.2106  0.0061  0.3016  1 Zn 2.95
I  0.7461  0.4921  0.7382  3 K 3.54-3.55, 3 Rb 3.66
Rb  0.5000  0.5000  0.0000  6 I 3.66-3.72
K  0.0000  0.5000  0.5000  6 I 3.55-3.61
Zn  0.0000  0.0000  0.5000  6 I 2.95
Rb  0.0000  0.0000  0.0000  6 I 3.66-3.72

6.
An optimized crystal structure of Y6Ga2S3, computed with PBE.

Properties
For the energy relative to the elements, uncorrected, the calculation gives -1.28 eV/atom. Its space-group type is C2/m.

a b c (Å): 6.7514 6.7595 7.2287
angles (deg): 80.95 71.64 60.04
With the nearest neighbours (Å) after each atom.
Sites, in units of the cell vectors:
Y  0.0838  0.3307  0.7604  3 S 2.78, 2 Ga 2.89
Ga  0.1653  0.6693  0.5000  6 Y 2.89
S  0.3304  0.3391  0.0000  6 Y 2.78
Y  0.4145  0.6693  0.7604  3 S 2.78, 2 Ga 2.89
Y  0.2572  0.0000  0.2338  3 S 2.78, 2 Ga 2.89
S  0.6696  0.6609  0.0000  6 Y 2.78
Y  0.5855  0.3307  0.2396  3 S 2.78, 2 Ga 2.89
Y  0.7428  0.0000  0.7662  3 S 2.78, 2 Ga 2.89
Ga  0.8347  0.3307  0.5000  6 Y 2.89
Y  0.9162  0.6693  0.2396  3 S 2.78, 2 Ga 2.89
S  0.0000  0.0000  0.0000  6 Y 2.78

7.
An optimized crystal structure of Ba2SrHgPd, computed with PBE.

Properties
As for the energy above the most stable polymorph in this dataset: 0.0910 eV per atom. Its space-group type is P4/mmm. The energy of formation from the pure elements is -1.15 eV/f.u.

a b c (Å): 6.1892 6.1892 5.5136
angles (deg): 90.00 90.00 90.00
With the nearest neighbours (Å) after each atom.
Sites, in units of the cell vectors:
Ba  0.0000  0.5000  0.0000  2 Pd 3.09
Sr  0.5000  0.5000  0.5000  8 Ba 4.14, 4 Hg 4.38
Pd  0.0000  0.0000  0.0000  2 Hg 2.76
Ba  0.5000  0.0000  0.0000  2 Pd 3.09
Hg  0.0000  0.0000  0.5000  2 Pd 2.76

8.
An optimized crystal structure of Pb2C, computed with PBE.

Properties
As for the energy above the most stable polymorph in this dataset: 0.3484 eV per atom. Its space-group type is I4_1/amd. The energy of formation from the pure elements is 4.18 eV/f.u.

a b c (Å): 13.1869 13.1869 13.1869
angles (deg): 165.59 165.59 20.43
With the nearest neighbours (Å) after each atom.
Sites, in units of the cell vectors:
C  0.7500  0.2500  0.5000  8 Pb 2.79
Pb  0.5586  0.5586  0.0000  4 C 2.79, 1 Pb 3.04
C  0.0000  0.0000  0.0000  8 Pb 2.79
Pb  0.3086  0.8086  0.5000  4 C 2.79, 1 Pb 3.04
Pb  0.1914  0.6914  0.5000  4 C 2.79, 1 Pb 3.04
Pb  0.4414  0.4414  0.0000  4 C 2.79, 1 Pb 3.04

9.
An optimized crystal structure of TlTc2Au, computed with PBE.

Properties
As for the energy above the most stable polymorph in this dataset: 0.4370 eV per atom. Its space-group type is Fm-3m. The energy of formation from the pure elements is 2.85 eV/f.u.

a b c (Å): 4.5872 4.5872 4.5872
angles (deg): 60.00 60.00 60.00
With the nearest neighbours (Å) after each atom.
Sites, in units of the cell vectors:
Au  0.0000  0.0000  0.0000  8 Tc 2.81
Tc  0.2500  0.2500  0.2500  4 Tl 2.81, 4 Au 2.81
Tc  0.7500  0.7500  0.7500  4 Au 2.81, 4 Tl 2.81
Tl  0.5000  0.5000  0.5000  8 Tc 2.81

10.
An optimized crystal structure of ZrSn2, computed with PBE.

Properties
Its space-group type is Fddd. The energy of formation from the pure elements is -1.31 eV/f.u.

a b c (Å): 6.9676 5.7625 5.6247
angles (deg): 75.44 53.18 51.38
With the nearest neighbours (Å) after each atom.
Sites, in units of the cell vectors:
Sn  0.6696  0.3304  0.6696  5 Zr 2.98-3.29, 5 Sn 3.01-3.29
Zr  0.0000  0.0000  0.0000  10 Sn 2.98-3.29
Sn  0.5804  0.9196  0.5804  5 Zr 2.98-3.29, 5 Sn 3.01-3.29
Sn  0.3304  0.6696  0.3304  5 Zr 2.98-3.29, 5 Sn 3.01-3.29
Zr  0.2500  0.2500  0.2500  10 Sn 2.98-3.29
Sn  0.9196  0.5804  0.9196  5 Zr 2.98-3.29, 5 Sn 3.01-3.29

11.
An optimized crystal structure of UTeHSe, computed with PBE.

Properties
Its space-group type is Cm. As for the uncorrected energy: -6.027 eV per atom.

a b c (Å): 3.8865 3.8865 7.5209
angles (deg): 90.12 104.84 120.01
With the nearest neighbours (Å) after each atom.
Sites, in units of the cell vectors:
H  0.5053  0.6171  0.1224  3 U 2.25
Te  0.3528  0.0422  0.3951  3 H 2.98, 3 U 3.04
Se  0.0044  0.8658  0.8702  3 U 2.82, 3 H 2.88
U  0.8295  0.2793  0.1088  3 H 2.25

12.
An optimized crystal structure of La2ErAu3, computed with PBE.

Properties
Its space-group type is Pmmn. The energy of formation from the pure elements is -4.82 eV/f.u.

a b c (Å): 3.6797 5.1794 16.0537
angles (deg): 90.00 90.00 90.00
With the nearest neighbours (Å) after each atom.
Sites, in units of the cell vectors:
Er  0.0118  0.0000  0.0000  8 Au 3.02-3.18
La  0.9853  0.0000  0.3308  8 Au 3.19-3.50
La  0.9853  0.0000  0.6692  8 Au 3.19-3.50
Au  0.4917  0.0000  0.5000  4 Er 3.17-3.18, 4 La 3.27-3.29, 4 Au 3.53
Au  0.4862  0.5000  0.6496  2 Er 3.02-3.03, 4 La 3.19
La  0.0147  0.5000  0.1692  8 Au 3.19-3.50
La  0.0147  0.5000  0.8308  8 Au 3.19-3.50
Au  0.4862  0.5000  0.3504  2 Er 3.02-3.03, 4 La 3.19
Au  0.5083  0.5000  0.0000  4 Er 3.17-3.18, 4 La 3.27-3.29, 4 Au 3.53
Au  0.5138  0.0000  0.1496  2 Er 3.02-3.03, 4 La 3.19
Au  0.5138  0.0000  0.8504  2 Er 3.02-3.03, 4 La 3.19
Er  0.9882  0.5000  0.5000  8 Au 3.02-3.18